The following is a PBE calculation of Ac2PmMgHg6 after structural relaxation, from the Alexandria database.

## Properties
**Total energy**: -2.048 eV/atom
**Mass density**: 10.837 g/cm³
**Calculated formation energy**: -0.41 eV/atom

Geometry as CIF:
```
data_Ac2PmMgHg6
_cell_length_a 5.0351
_cell_length_b 6.1515
_cell_length_c 9.9008
_cell_angle_alpha 90.22
_cell_angle_beta 90.13
_cell_angle_gamma 114.10
_space_group_name_H-M_alt 'P -1'
_space_group_IT_number 2
_space_group_name_Hall '-P 1'
loop_
_atom_site_label
_atom_site_fract_x
_atom_site_fract_y
_atom_site_fract_z
_atom_site_occupancy
Ac1 0.2031 0.4053 0.1877 1
Pm1 0.0000 0.0000 0.5000 1
Mg1 0.5000 0.0000 0.0000 1
Hg1 0.1063 0.2131 0.8616 1
Hg2 0.3026 0.6053 0.5345 1
Hg3 0.4904 0.9806 0.2890 1
```